(1)
Crystalline PrSiPd at its relaxed geometry, computed with PBE-GGA.

Summary:
space-group type: No. 187
electronic total energy: -6.010 eV per atom
formation energy (no corrections): -0.88 eV per atom

Unit cell a=4.281 b=4.223 c=4.223 alpha=120.00 beta=90.00 gamma=90.00
Sites, in units of the cell vectors:
Pd 0.167 0.000 0.000
Pr 0.667 0.333 0.667
Si 0.167 0.667 0.333



(2)
Crystalline Pr3Si2Pd4 at its relaxed geometry, computed with PBE-GGA.

Summary:
space-group type: No. 12
electronic total energy: -5.952 eV per atom
formation energy (no corrections): -0.85 eV per atom

Unit cell a=4.422 b=5.808 c=8.717 alpha=109.78 beta=90.00 gamma=112.38
Sites, in units of the cell vectors:
Pd 0.715 0.431 0.075
Pd 0.883 0.767 0.576
Pd 0.285 0.569 0.925
Pd 0.117 0.233 0.424
Pr 0.000 0.000 0.000
Pr 0.367 0.735 0.308
Pr 0.633 0.265 0.692
Si 0.341 0.682 0.676
Si 0.659 0.318 0.324



(3)
Crystalline Pr4Si3Pd at its relaxed geometry, computed with PBE-GGA.

Summary:
space-group type: No. 25
electronic total energy: -5.782 eV per atom
formation energy (no corrections): -0.71 eV per atom

Unit cell a=4.399 b=4.061 c=11.251 alpha=90.00 beta=90.00 gamma=90.00
Sites, in units of the cell vectors:
Si 0.500 0.000 0.927
Si 0.000 0.500 0.569
Si 0.000 0.000 0.434
Pr 0.500 0.000 0.643
Pr 0.000 0.500 0.859
Pr 0.500 0.500 0.361
Pr 0.000 0.000 0.138
Pd 0.500 0.500 0.069



(4)
Crystalline PrSiPd2 at its relaxed geometry, computed with PBE-GGA.

Summary:
space-group type: No. 47
electronic total energy: -5.786 eV per atom
formation energy (no corrections): -0.64 eV per atom

Unit cell a=3.958 b=4.114 c=5.426 alpha=90.02 beta=90.00 gamma=90.00
Sites, in units of the cell vectors:
Si 0.500 0.000 0.500
Pr 0.500 0.500 0.000
Pd 0.000 0.000 0.750
Pd 0.000 0.000 0.250